No. 1
Density functional theory data (PBE) for MnAl2Ni4 after structural relaxation.

Geometry as POSCAR:
```
MnAl2Ni4
1.0
-2.5961 2.5961 3.3745
2.5961 -2.5961 3.3745
2.5961 2.5961 -3.3745
Mn Al Ni
1 2 4
Direct
0.0000 0.0000 0.0000
0.0000 0.5000 0.5000
0.5000 0.0000 0.5000
0.0000 0.0000 0.5000
0.0000 0.5000 0.0000
0.5000 0.0000 0.0000
0.5000 0.5000 0.5000
```

Total moment   4.3 μB/f.u.
Space-group type   I4/mmm (139)
Formation energy from the elements   -0.2211 eV/atom



No. 2
Density functional theory data (PBE) for Mn2Al2Ni after structural relaxation.

Geometry as POSCAR:
```
Mn2Al2Ni
1.0
6.1376 0.0000 0.0000
0.0000 6.1376 0.0000
0.0000 0.0000 3.6371
Mn Al Ni
4 4 2
Direct
0.1558 0.3442 0.0000
0.3442 0.8442 0.0000
0.6558 0.1558 0.0000
0.8442 0.6558 0.0000
0.1471 0.6471 0.5000
0.3529 0.1471 0.5000
0.6471 0.8529 0.5000
0.8529 0.3529 0.5000
0.0000 0.0000 0.5000
0.5000 0.5000 0.5000
```

Polymorph energy (0 for the lowest one)   0 meV/atom
Total moment   5.5 μB/f.u.
Space-group type   P4/mbm (127)
Formation energy from the elements   -0.0450 eV/atom



No. 3
Density functional theory data (PBE) for MnAl2Ni after structural relaxation.

Geometry as POSCAR:
```
MnAl2Ni
1.0
4.5659 -1.4142 0.0000
4.5659 1.4142 0.0000
-1.3819 0.0000 3.9558
Mn Al Ni
1 2 1
Direct
0.0000 0.0000 0.0000
0.2527 0.2527 0.8233
0.4813 0.4813 0.4873
0.7426 0.7426 0.3177
```

Total moment   2.3 μB/f.u.
Space-group type   Cm (8)
Formation energy from the elements   -0.3395 eV/atom



No. 4
Density functional theory data (PBE) for MnAl3Ni4 after structural relaxation.

Geometry as POSCAR:
```
MnAl3Ni4
1.0
2.0429 1.1795 6.7029
-2.0429 1.1795 6.7029
0.0000 -2.3589 6.7029
Mn Al Ni
1 3 4
Direct
0.0000 0.0000 0.0000
0.2517 0.2517 0.2517
0.5000 0.5000 0.5000
0.7483 0.7483 0.7483
0.1265 0.1265 0.1265
0.3759 0.3759 0.3759
0.6241 0.6241 0.6241
0.8735 0.8735 0.8735
```

Total moment   4.1 μB/f.u.
Space-group type   R-3m (166)
Formation energy from the elements   -0.5259 eV/atom



No. 5
Density functional theory data (PBE) for MnAl2Ni after structural relaxation.

Geometry as POSCAR:
```
MnAl2Ni
1.0
4.0988 0.0000 0.0000
0.0000 4.0988 0.0000
0.0000 0.0000 2.9139
Mn Al Ni
1 2 1
Direct
0.0000 0.0000 0.0000
0.0000 0.5000 0.5000
0.5000 0.0000 0.5000
0.5000 0.5000 0.0000
```

Total moment   1.1 μB/f.u.
Space-group type   P4/mmm (123)
Formation energy from the elements   -0.4433 eV/atom



No. 6
Density functional theory data (PBE) for MnAl2Ni after structural relaxation.

Geometry as POSCAR:
```
MnAl2Ni
1.0
0.0000 2.9909 2.9909
2.9909 0.0000 2.9909
2.9909 2.9909 0.0000
Mn Al Ni
1 2 1
Direct
0.0000 0.0000 0.0000
0.2500 0.2500 0.2500
0.5000 0.5000 0.5000
0.7500 0.7500 0.7500
```

Total moment   3.6 μB/f.u.
Space-group type   F-43m (216)
Formation energy from the elements   -0.2062 eV/atom



No. 7
Density functional theory data (PBE) for MnAl3Ni12 after structural relaxation.

Geometry as POSCAR:
```
MnAl3Ni12
1.0
3.5730 0.0000 0.0000
0.0000 3.5730 0.0000
0.0000 0.0000 14.1610
Mn Al Ni
1 3 12
Direct
0.0000 0.0000 0.0000
0.0000 0.0000 0.2506
0.0000 0.0000 0.5000
0.0000 0.0000 0.7494
0.0000 0.5000 0.1246
0.0000 0.5000 0.3747
0.0000 0.5000 0.6253
0.0000 0.5000 0.8754
0.5000 0.0000 0.1246
0.5000 0.0000 0.3747
0.5000 0.0000 0.6253
0.5000 0.0000 0.8754
0.5000 0.5000 0.0000
0.5000 0.5000 0.2493
0.5000 0.5000 0.5000
0.5000 0.5000 0.7507
```

Total moment   6.0 μB/f.u.
Space-group type   P4/mmm (123)
Formation energy from the elements   -0.3488 eV/atom



No. 8
Density functional theory data (PBE) for MnAlNi after structural relaxation.

Geometry as POSCAR:
```
MnAlNi
1.0
0.0000 2.8249 2.8249
2.8249 0.0000 2.8249
2.8249 2.8249 0.0000
Mn Al Ni
1 1 1
Direct
0.0000 0.0000 0.0000
0.7500 0.7500 0.7500
0.2500 0.2500 0.2500
```

Total moment   3.1 μB/f.u.
Space-group type   F-43m (216)
Formation energy from the elements   0.2305 eV/atom



No. 9
Density functional theory data (PBE) for Mn2AlNi after structural relaxation.

Geometry as POSCAR:
```
Mn2AlNi
1.0
-1.9063 1.9063 3.3576
1.9063 -1.9063 3.3576
1.9063 1.9063 -3.3576
Mn Al Ni
2 1 1
Direct
0.0000 0.0000 0.0000
0.7500 0.2500 0.5000
0.2500 0.7500 0.5000
0.5000 0.5000 0.0000
```

Total moment   1.1 μB/f.u.
Space-group type   I-4m2 (119)
Formation energy from the elements   -0.2598 eV/atom



No. 10
Density functional theory data (PBE) for Mn2AlNi after structural relaxation.

Geometry as POSCAR:
```
Mn2AlNi
1.0
2.6103 -3.5743 0.0000
2.6103 3.5743 0.0000
0.0000 0.0000 2.7132
Mn Al Ni
2 1 1
Direct
0.0000 0.5000 0.0000
0.5000 0.0000 0.0000
0.0000 0.0000 0.5000
0.5000 0.5000 0.5000
```

Total moment   6.1 μB/f.u.
Space-group type   Cmmm (65)
Formation energy from the elements   -0.1220 eV/atom



No. 11
Density functional theory data (PBE) for MnAlNi after structural relaxation.

Geometry as POSCAR:
```
MnAlNi
1.0
-1.3968 1.3968 4.7827
1.3968 -1.3968 4.7827
1.3968 1.3968 -4.7827
Mn Al Ni
1 1 1
Direct
0.0000 0.0000 0.0000
0.3227 0.3227 0.0000
0.6652 0.6652 0.0000
```

Total moment   3.1 μB/f.u.
Space-group type   I4mm (107)
Formation energy from the elements   -0.2835 eV/atom



No. 12
Density functional theory data (PBE) for MnAlNiOs after structural relaxation.

Geometry as POSCAR:
```
MnAlNiOs
1.0
0.0000 2.9624 2.9624
2.9624 0.0000 2.9624
2.9624 2.9624 0.0000
Mn Al Ni Os
1 1 1 1
Direct
0.0000 0.0000 0.0000
0.5000 0.5000 0.5000
0.2500 0.2500 0.2500
0.7500 0.7500 0.7500
```

Total moment   3.8 μB/f.u.
Space-group type   F-43m (216)
Formation energy from the elements   -0.2387 eV/atom



- Number 4 is which compound?
  MnAl3Ni4



- The highest formation energy from the elements belongs to which entry?
  number 8



What did the first record say?
Density functional theory data (PBE) for MnAl2Ni4 after structural relaxation.

Geometry as POSCAR:
```
MnAl2Ni4
1.0
-2.5961 2.5961 3.3745
2.5961 -2.5961 3.3745
2.5961 2.5961 -3.3745
Mn Al Ni
1 2 4
Direct
0.0000 0.0000 0.0000
0.0000 0.5000 0.5000
0.5000 0.0000 0.5000
0.0000 0.0000 0.5000
0.0000 0.5000 0.0000
0.5000 0.0000 0.0000
0.5000 0.5000 0.5000
```

Total moment   4.3 μB/f.u.
Space-group type   I4/mmm (139)
Formation energy from the elements   -0.2211 eV/atom